First-principles (PBE) data for crystalline TbPmInCu at its relaxed geometry, as listed in Alexandria.

Values from the calculation:
V in Å³ per atom: 25.474
Symmetry: F-43m, No. 216
Calculated formation energy in eV per atom: -0.28

a b c (Å): 5.243 5.243 5.243
angles (deg): 60.00 60.00 60.00
Element x y z (fractional)
1 Cu 0.250 0.250 0.250
2 In 0.750 0.750 0.750
3 Tb 0.000 0.000 0.000
4 Pm 0.500 0.500 0.500


First-principles (PBE) data for crystalline PmThInCu at its relaxed geometry, as listed in Alexandria.

Values from the calculation:
V in Å³ per atom: 26.341
Symmetry: F-43m, No. 216
Calculated formation energy in eV per atom: -0.15

a b c (Å): 5.302 5.302 5.302
angles (deg): 60.00 60.00 60.00
Element x y z (fractional)
1 Th 0.750 0.750 0.750
2 In 0.000 0.000 0.000
3 Cu 0.500 0.500 0.500
4 Pm 0.250 0.250 0.250


First-principles (PBE) data for crystalline PmTlInCu at its relaxed geometry, as listed in Alexandria.

Values from the calculation:
V in Å³ per atom: 23.755
Symmetry: F-43m, No. 216
Calculated formation energy in eV per atom: -0.14

a b c (Å): 5.122 5.122 5.122
angles (deg): 60.00 60.00 60.00
Element x y z (fractional)
1 Cu 0.250 0.250 0.250
2 In 0.500 0.500 0.500
3 Tl 0.750 0.750 0.750
4 Pm 0.000 0.000 0.000


| no. | calculated total energy (eV/atom) |
| --- | --- |
| 1 | -4.3385 |
| 2 | -4.8989 |
| 3 | -3.6312 |